[1]
The following is a PBE calculation of crystalline TaCoSb2Ru at its relaxed geometry, from the Alexandria database.

Summary:
Formation energy without anion corrections: 1236 meV per atom

Unit cell a=4.991 b=4.991 c=4.877 alpha=90.00 beta=90.00 gamma=90.00
Space group P4/mmm (No. 123)
Unique sites:
Ta1 0.000 0.000 0.000
Co1 0.500 0.500 0.000
Sb1 0.000 0.500 0.500
Ru1 0.000 0.000 0.500



[2]
The following is a PBE calculation of crystalline CoSb2TeRu at its relaxed geometry, from the Alexandria database.

Summary:
Offset from the most stable computed form: 0.0 meV per atom
Formation energy without anion corrections: 823 meV per atom

Unit cell a=4.766 b=4.766 c=4.982 alpha=90.00 beta=90.00 gamma=90.00
Space group P4/mmm (No. 123)
Unique sites:
Co1 0.000 0.000 0.000
Sb1 0.000 0.500 0.000
Te1 0.000 0.000 0.500
Ru1 0.500 0.500 0.500